Density functional theory data (PBE-GGA) for a relaxed structure of LiEr7Rh4.

Total energy   -0.212 Ha/atom
Energy relative to the elements   -0.5009 eV/atom
Crystal system   monoclinic

The structure in CIF format:
```
data_LiEr7Rh4
_symmetry_space_group_name_H-M 'C 1 2/m 1'
_symmetry_Int_Tables_number 12
_cell_length_a 13.583
_cell_length_b 5.168
_cell_length_c 9.731
_cell_angle_alpha 90.00
_cell_angle_beta 125.53
_cell_angle_gamma 90.00
loop_
_symmetry_equiv_pos_as_xyz
'x,y,z'
'-x,-y,-z'
'-x,y,-z'
'x,-y,z'
'x+1/2,y+1/2,z'
'-x+1/2,-y+1/2,-z'
'-x+1/2,y+1/2,-z'
'x+1/2,-y+1/2,z'
loop_
_atom_site_label
_atom_site_fract_x
_atom_site_fract_y
_atom_site_fract_z
Li1 0.000 0.000 0.000
Er1 0.000 0.500 0.000
Er2 0.077 0.000 0.358
Er3 0.171 0.500 0.621
Er4 0.214 0.000 0.875
Rh1 0.067 0.500 0.784
Rh2 0.202 0.500 0.341
```